Density functional theory data (PBE) for a relaxed structure of CeSmTl.

Cell: 4.542 4.542 8.753 Å, 90.00 90.00 90.00°
Positions (direct):
1 Sm 0.500 0.000 0.858
2 Sm 0.000 0.500 0.142
3 Tl 0.500 0.000 0.224
4 Tl 0.000 0.500 0.776
5 Ce 0.500 0.500 0.500
6 Ce 0.000 0.000 0.500

**ΔE to the lowest computed polymorph**: 0 meV per atom
**Energy of formation from the pure elements**: -0.21 eV/atom
**Total moment**: 0.16 μB per formula unit
**Raw total energy**: -4.55 eV/atom



Density functional theory data (PBE) for a relaxed structure of BeRhBr2.

Cell: 3.813 5.067 5.320 Å, 86.70 72.02 75.91°
Positions (direct):
1 Be 0.541 0.311 0.918
2 Rh 0.139 0.155 0.738
3 Br 0.248 0.639 0.713
4 Br 0.145 0.163 0.242

**ΔE to the lowest computed polymorph**: 246 meV per atom
**E_form (uncorrected)**: -0.1592 eV per atom
**Total moment**: 0.00 μB per formula unit
**Raw total energy**: -3.77 eV/atom